meta-GGA SCAN KMnTl, single point on PBEsol structure; electronic total energy = -97.6 eV/cell; Fermi-level density of states = 3.88 states/eV/cell; DFT formation energy = 43.24 kJ/mol of atoms
1.0
0.000 3.527 3.527
3.527 0.000 3.527
3.527 3.527 0.000
K Mn Tl
1 1 1
Direct
0.000 0.000 0.000
0.750 0.750 0.750
0.500 0.500 0.500